1.
# BeTcIr3 | the Alexandria database | PBE | optimized geometry
# D(E_F): 6.13 states/eV/f.u.
# formation energy: 220 kJ/mol of formula units
# calculated volume: 13.9 A^3/atom
# offset from the most stable computed form: 0.000 eV per formula unit
# magnetic moment: 0.00 μB per cell
data_BeTcIr3
_chemical_formula_sum 'Be1 Tc1 Ir3'
_space_group_name_H-M_alt 'P m -3 m'
_space_group_IT_number 221
_space_group_name_Hall '-P 4 2 3'
_cell_length_a 4.107
_cell_length_b 4.107
_cell_length_c 4.107
_cell_angle_alpha 90.00
_cell_angle_beta 90.00
_cell_angle_gamma 90.00
loop_
_atom_site_label
_atom_site_fract_x
_atom_site_fract_y
_atom_site_fract_z
Be1 0.000 0.000 0.000
Tc1 0.500 0.500 0.500
Ir1 0.000 0.000 0.500

=====

2.
# BeTc4Ir | the Alexandria database | PBE | optimized geometry
# D(E_F): 5.84 states/eV/f.u.
# formation energy: 303 kJ/mol of formula units
# calculated volume: 15.1 A^3/atom
# magnetic moment: 0.00 μB per cell
data_BeTc4Ir
_chemical_formula_sum 'Be4 Tc16 Ir4'
_space_group_name_H-M_alt 'F -4 3 m'
_space_group_IT_number 216
_space_group_name_Hall 'F -4 2 3'
_cell_length_a 7.123
_cell_length_b 7.123
_cell_length_c 7.123
_cell_angle_alpha 90.00
_cell_angle_beta 90.00
_cell_angle_gamma 90.00
loop_
_atom_site_label
_atom_site_fract_x
_atom_site_fract_y
_atom_site_fract_z
Be1 0.000 0.000 0.000
Tc1 0.126 0.126 0.374
Ir1 0.250 0.250 0.750